a | ZnC2 after structural relaxation. Source: the Alexandria database, functional PBE.

Structure (CIF):
```
data_ZnC2
_space_group_name_H-M_alt 'R -3 m'
_space_group_IT_number 166
_space_group_name_Hall '-R 3 2"'
_cell_length_a 2.4776
_cell_length_b 2.4776
_cell_length_c 28.3788
_cell_angle_alpha 90.00
_cell_angle_beta 90.00
_cell_angle_gamma 120.00
loop_
_atom_site_label
_atom_site_fract_x
_atom_site_fract_y
_atom_site_fract_z
Zn1 0.0000 0.0000 0.0000
C1 0.0000 0.0000 0.1667
```

b | ZnC2 after structural relaxation. Source: the Alexandria database, functional PBE.

Structure (CIF):
```
data_ZnC2
_space_group_name_H-M_alt 'C 1 2/m 1'
_space_group_IT_number 12
_cell_length_a 8.466
_cell_length_b 3.478
_cell_length_c 7.967
_cell_angle_alpha 90.00
_cell_angle_beta 90.11
_cell_angle_gamma 90.00
loop_
_space_group_symop_operation_xyz
'x,y,z'
'-x,-y,-z'
'-x,y,-z'
'x,-y,z'
'x+1/2,y+1/2,z'
'-x+1/2,-y+1/2,-z'
'-x+1/2,y+1/2,-z'
'x+1/2,-y+1/2,z'
loop_
_atom_site_label
_atom_site_fract_x
_atom_site_fract_y
_atom_site_fract_z
Zn1 0.091 0.000 0.249
C1 0.031 0.500 0.751
C2 0.179 0.500 0.751
```

c | ZnC2 after structural relaxation. Source: the Alexandria database, functional PBE.

Structure (CIF):
```
data_ZnC2
_space_group_name_H-M_alt 'P 63/m m c'
_space_group_IT_number 194
_space_group_name_Hall '-P 6c 2c'
_cell_length_a 4.4421
_cell_length_b 4.4421
_cell_length_c 8.5583
_cell_angle_alpha 90.00
_cell_angle_beta 90.00
_cell_angle_gamma 120.00
loop_
_atom_site_label
_atom_site_fract_x
_atom_site_fract_y
_atom_site_fract_z
Zn1 0.3333 0.6667 0.1031
C1 0.0000 0.0000 0.0000
C2 0.1074 0.2149 0.2500
```

Question: of the structures shown, which is the least stable? Reply: c.